# Tm3Ga3Au2, relaxed, DFT PBE
data_Tm3Ga3Au2
_chemical_formula_sum 'Tm6 Ga6 Au4'
_symmetry_space_group_name_H-M 'P 1'
_symmetry_Int_Tables_number 1
_cell_length_a 4.401
_cell_length_b 5.712
_cell_length_c 14.503
_cell_angle_alpha 90.00
_cell_angle_beta 90.00
_cell_angle_gamma 112.66
loop_
_symmetry_equiv_pos_as_xyz
'x,y,z'
loop_
_atom_site_label
_atom_site_type_symbol
_atom_site_fract_x
_atom_site_fract_y
_atom_site_fract_z
Ga1 Ga 0.388 0.777 0.964
Ga2 Ga 0.388 0.777 0.536
Ga3 Ga 0.612 0.223 0.036
Ga4 Ga 0.641 0.282 0.750
Ga5 Ga 0.359 0.718 0.250
Ga6 Ga 0.612 0.223 0.464
Au1 Au 0.798 0.597 0.606
Au2 Au 0.202 0.403 0.394
Au3 Au 0.202 0.403 0.106
Au4 Au 0.798 0.597 0.894
Tm1 Tm 0.912 0.823 0.390
Tm2 Tm 0.912 0.823 0.110
Tm3 Tm 0.088 0.177 0.890
Tm4 Tm 0.357 0.715 0.750
Tm5 Tm 0.088 0.177 0.610
Tm6 Tm 0.643 0.285 0.250
# - ρ: 10.96 g/cm³
# - Calculated formation energy: -750 meV per atom
# - Energy: -4.381 eV/atom